PBE Be2ReW, relaxed; E = -32.11 eV for the cell shown; ΔE to the lowest computed polymorph = 401 meV/atom; space group = No. 123; ΔH_f (0 K) = 0.186 eV/atom
1.0
3.344 0.000 0.000
0.000 3.795 0.000
0.000 0.000 3.795
Be Re W
2 1 1
Direct
0.000 0.000 0.000
0.000 0.500 0.500
0.500 0.500 0.000
0.500 0.000 0.500



PBE Be2ReW, relaxed; E = -32.26 eV for the cell shown; ΔE to the lowest computed polymorph = 364 meV/atom; space group = No. 10; ΔH_f (0 K) = 0.149 eV/atom
1.0
3.750 0.000 0.000
0.000 2.613 0.000
0.000 1.301 5.073
Re Be W
1 2 1
Direct
0.500 0.250 0.250
0.000 0.997 0.013
0.000 0.503 0.487
0.500 0.750 0.750



PBE Be2Re2W, relaxed; E = -45.22 eV for the cell shown; ΔE to the lowest computed polymorph = 190 meV/atom; space group = No. 12; ΔH_f (0 K) = 0.016 eV/atom
1.0
2.907 0.000 -1.055
-0.391 4.404 -1.078
0.102 -0.057 4.813
Be Re W
2 2 1
Direct
0.284 0.901 0.569
0.716 0.099 0.431
0.642 0.559 0.284
0.358 0.441 0.716
0.000 0.000 0.000